# AcSn2Au9 (PBE, optimized geometry)
data_AcSn2Au9
_chemical_formula_sum 'Ac1 Sn2 Au9'
_cell_length_a 5.743
_cell_length_b 5.743
_cell_length_c 9.743
_cell_angle_alpha 72.86
_cell_angle_beta 72.86
_cell_angle_gamma 60.00
_space_group_name_H-M_alt 'P 1'
_space_group_IT_number 1
_space_group_name_Hall 'P 1'
loop_
_atom_site_label
_atom_site_type_symbol
_atom_site_fract_x
_atom_site_fract_y
_atom_site_fract_z
Au1 Au 0.414 0.414 0.254
Au2 Au 0.500 0.500 0.500
Au3 Au 0.586 0.081 0.746
Au4 Au 0.081 0.586 0.746
Au5 Au 0.667 0.667 0.000
Au6 Au 0.919 0.414 0.254
Au7 Au 0.414 0.919 0.254
Au8 Au 0.333 0.333 0.000
Au9 Au 0.586 0.586 0.746
Ac1 Ac 0.000 0.000 0.000
Sn1 Sn 0.152 0.152 0.545
Sn2 Sn 0.848 0.848 0.455
# E_form, meV/atom: -259
# E_tot, eV per atom: -3.726